First-principles (PBE) data for GaRePb2 after structural relaxation, as listed in the Alexandria database.

Summary:
The density is 8.46 g/cm3. The uncorrected energy comes out at -71.7 eV/cell.

```
data_GaRePb2
_chemical_formula_sum 'Ga4 Re4 Pb8'
_symmetry_space_group_name_H-M 'I -4 2 d'
_symmetry_Int_Tables_number 122
_symmetry_space_group_name_Hall 'I -4 2bw'
_cell_length_a 6.4716
_cell_length_b 6.4716
_cell_length_c 12.5622
_cell_angle_alpha 90.00
_cell_angle_beta 90.00
_cell_angle_gamma 90.00
loop_
_atom_site_label
_atom_site_fract_x
_atom_site_fract_y
_atom_site_fract_z
_atom_site_occupancy
Ga1 0.0000 0.0000 0.0000 1
Re1 0.0000 0.0000 0.5000 1
Pb1 0.2246 0.2500 0.6250 1
```